First-principles (PBE) data for a geometry-optimized ThSc4Cd3 structure, as listed in Alexandria via LeMat-Bulk.

POSCAR file:
```
ThSc4Cd3
1.0
3.509 0.000 0.000
0.000 3.509 0.000
0.000 0.000 15.312
Th Sc Cd
1 4 3
Direct
0.000 0.000 0.000 Th
0.500 0.500 0.147 Sc
0.500 0.500 0.384 Sc
0.500 0.500 0.616 Sc
0.500 0.500 0.853 Sc
0.000 0.000 0.265 Cd
0.000 0.000 0.500 Cd
0.000 0.000 0.735 Cd
```

Summary:
Density = 6598 kg/m³
D(E_F) = 0.866 states/eV per atom
Formation energy from the elements = -0.224 eV per atom